Record 1
# TePAu2

A geometry-optimized TePAu2 structure (PBE, Alexandria).

## Properties
SG: Pmmm, No. 47
polymorph energy (0 for the lowest one): 10.88 kJ per mole of atoms
calculated volume: 21.75 Å³/atom

abc: 2.994 3.884 7.480
angles: 90.00 90.00 90.00
Element x y z (fractional)
Te: 0.000 0.000 0.000
P: 0.000 0.000 0.500
Au: 0.000 0.500 0.281
Au: 0.000 0.500 0.719

***

Record 2
# Sm3Tm6Th2Sc

A geometry-optimized Sm3Tm6Th2Sc structure (PBE, Alexandria).

## Properties
SG: C2/m, No. 12
DFT formation energy: 0.02 eV per atom
calculated volume: 30.70 Å³/atom

abc: 6.091 6.091 11.644
angles: 95.01 95.01 119.99
Element x y z (fractional)
Sm: 0.000 0.000 0.000
Sm: 0.334 0.666 0.000
Sm: 0.666 0.334 0.000
Tm: 0.085 0.419 0.255
Tm: 0.247 0.247 0.745
Tm: 0.419 0.085 0.255
Tm: 0.581 0.915 0.745
Tm: 0.753 0.753 0.255
Tm: 0.915 0.581 0.745
Th: 0.167 0.833 0.500
Th: 0.833 0.167 0.500
Sc: 0.500 0.500 0.500

***

Record 3
# Fe2Co3Ir

A geometry-optimized Fe2Co3Ir structure (PBE, Alexandria).

## Properties
SG: R-3c, No. 167
DFT formation energy: 0.02 eV per atom
calculated volume: 11.80 Å³/atom

abc: 8.767 8.767 8.767
angles: 29.17 29.17 29.17
Element x y z (fractional)
Fe: 0.166 0.166 0.166
Fe: 0.334 0.334 0.334
Fe: 0.666 0.666 0.666
Fe: 0.834 0.834 0.834
Co: 0.080 0.750 0.420
Co: 0.250 0.580 0.920
Co: 0.420 0.080 0.750
Co: 0.580 0.920 0.250
Co: 0.750 0.420 0.080
Co: 0.920 0.250 0.580
Ir: 0.000 0.000 0.000
Ir: 0.500 0.500 0.500

***

Record 4
# Pm2SnGe3Ir4

A geometry-optimized Pm2SnGe3Ir4 structure (PBE, Alexandria).

## Properties
SG: P-4m2, No. 115
DFT formation energy: -0.71 eV per atom
calculated volume: 19.29 Å³/atom

abc: 4.288 4.288 10.490
angles: 90.00 90.00 90.00
Element x y z (fractional)
Pm: 0.000 0.500 0.245
Pm: 0.500 0.000 0.755
Sn: 0.000 0.000 0.500
Ge: 0.000 0.500 0.873
Ge: 0.500 0.000 0.127
Ge: 0.500 0.500 0.500
Ir: 0.000 0.000 0.000
Ir: 0.000 0.500 0.641
Ir: 0.500 0.000 0.359
Ir: 0.500 0.500 0.000

***

Record 5
# Li2YTiPd

A geometry-optimized Li2YTiPd structure (PBE, Alexandria).

## Properties
SG: P4/mmm, No. 123
DFT formation energy: 0.39 eV per atom
calculated volume: 23.13 Å³/atom

abc: 4.675 4.675 5.292
angles: 90.00 90.00 90.00
Element x y z (fractional)
Li: 0.000 0.500 0.000
Li: 0.500 0.000 0.000
Y: 0.000 0.000 0.500
Ti: 0.500 0.500 0.500
Pd: 0.000 0.000 0.000

***

Record 6
# KCdIn4

A geometry-optimized KCdIn4 structure (PBE, Alexandria).

## Properties
SG: F-43m, No. 216
polymorph energy (0 for the lowest one): 8.53 kJ per mole of atoms
DFT formation energy: 0.02 eV per atom
calculated volume: 30.14 Å³/atom

abc: 6.348 6.348 6.348
angles: 60.00 60.00 60.00
Element x y z (fractional)
K: 0.000 0.000 0.000
Cd: 0.750 0.750 0.750
In: 0.375 0.375 0.375
In: 0.375 0.375 0.875
In: 0.375 0.875 0.375
In: 0.875 0.375 0.375

***

Record 7
# ScHgP2

A geometry-optimized ScHgP2 structure (PBE, Alexandria).

## Properties
SG: I4/mmm, No. 139
DFT formation energy: -0.14 eV per atom
calculated volume: 18.30 Å³/atom

abc: 5.122 5.122 5.122
angles: 131.78 131.78 70.58
Element x y z (fractional)
Sc: 0.000 0.000 0.000
Hg: 0.500 0.500 0.000
P: 0.250 0.750 0.500
P: 0.750 0.250 0.500

***

Record 8
# Cs2HgH6Pd

A geometry-optimized Cs2HgH6Pd structure (PBE, Alexandria).

## Properties
SG: I4/mmm, No. 139
energy: -29.4 eV for the cell shown
calculated volume: 18.27 Å³/atom

abc: 6.366 6.366 6.366
angles: 119.90 119.90 90.17
Element x y z (fractional)
Cs: 0.250 0.750 0.500
Cs: 0.750 0.250 0.500
Hg: 0.000 0.000 0.000
H: 0.316 0.316 0.000
H: 0.316 0.316 0.633
H: 0.316 0.684 0.000
H: 0.684 0.316 0.000
H: 0.684 0.684 0.000
H: 0.684 0.684 0.367
Pd: 0.500 0.500 0.000

***

Record 9
# Ba2Be

A geometry-optimized Ba2Be structure (PBE, Alexandria).

## Properties
SG: P-62m, No. 189
polymorph energy (0 for the lowest one): 7.65 kJ per mole of atoms
DFT formation energy: 0.44 eV per atom
calculated volume: 39.19 Å³/atom

abc: 8.583 8.583 5.528
angles: 90.00 90.00 120.00
Element x y z (fractional)
Ba: 0.000 0.265 0.000
Ba: 0.000 0.597 0.500
Ba: 0.265 0.000 0.000
Ba: 0.403 0.403 0.500
Ba: 0.597 0.000 0.500
Ba: 0.735 0.735 0.000
Be: 0.000 0.000 0.500
Be: 0.333 0.667 0.000
Be: 0.667 0.333 0.000

***

Record 10
# AcLa5Pm2Pr

A geometry-optimized AcLa5Pm2Pr structure (PBE, Alexandria).

## Properties
SG: P4/mbm, No. 127
DFT formation energy: 0.22 eV per atom
calculated volume: 38.18 Å³/atom

abc: 8.160 8.160 10.321
angles: 90.00 90.00 90.00
Element x y z (fractional)
Ac: 0.000 0.000 0.000
Ac: 0.500 0.500 0.000
La: 0.000 0.000 0.500
La: 0.200 0.300 0.244
La: 0.200 0.300 0.756
La: 0.300 0.800 0.244
La: 0.300 0.800 0.756
La: 0.500 0.500 0.500
La: 0.700 0.200 0.244
La: 0.700 0.200 0.756
La: 0.800 0.700 0.244
La: 0.800 0.700 0.756
Pm: 0.130 0.630 0.500
Pm: 0.370 0.130 0.500
Pm: 0.630 0.870 0.500
Pm: 0.870 0.370 0.500
Pr: 0.000 0.500 0.000
Pr: 0.500 0.000 0.000

***

Record 11
# Ti2CrPd

A geometry-optimized Ti2CrPd structure (PBE, Alexandria).

## Properties
SG: P4/mmm, No. 123
polymorph energy (0 for the lowest one): 0.00 kJ per mole of atoms
DFT formation energy: -0.36 eV per atom
calculated volume: 14.75 Å³/atom

abc: 3.078 3.078 6.228
angles: 90.00 90.00 90.00
Element x y z (fractional)
Ti: 0.000 0.000 0.229
Ti: 0.000 0.000 0.771
Cr: 0.500 0.500 0.000
Pd: 0.500 0.500 0.500

***

Record 12
# PmTi3O6

A geometry-optimized PmTi3O6 structure (PBE, Alexandria).

## Properties
SG: P2_1/m, No. 11
energy: -175.3 eV for the cell shown
calculated volume: 10.88 Å³/atom

abc: 8.557 3.081 8.800
angles: 90.00 110.27 90.00
Element x y z (fractional)
Pm: 0.070 0.250 0.207
Pm: 0.930 0.750 0.793
Ti: 0.176 0.250 0.599
Ti: 0.325 0.750 0.992
Ti: 0.466 0.250 0.346
Ti: 0.534 0.750 0.654
Ti: 0.675 0.250 0.008
Ti: 0.824 0.750 0.401
O: 0.076 0.750 0.423
O: 0.138 0.250 0.966
O: 0.197 0.750 0.749
O: 0.301 0.750 0.235
O: 0.372 0.250 0.532
O: 0.480 0.250 0.112
O: 0.520 0.750 0.888
O: 0.628 0.750 0.468
O: 0.699 0.250 0.765
O: 0.803 0.250 0.251
O: 0.862 0.750 0.034
O: 0.924 0.250 0.577

***

Record 13
# NdThGeTe

A geometry-optimized NdThGeTe structure (PBE, Alexandria).

## Properties
SG: R3m, No. 160
energy: -24.4 eV for the cell shown
calculated volume: 30.32 Å³/atom

abc: 7.752 7.752 7.752
angles: 32.75 32.75 32.75
Element x y z (fractional)
Nd: 0.000 0.000 0.000
Th: 0.520 0.520 0.520
Ge: 0.259 0.259 0.259
Te: 0.760 0.760 0.760

***

Record 14
# Cr2PdRu2

A geometry-optimized Cr2PdRu2 structure (PBE, Alexandria).

## Properties
SG: P4/mbm, No. 127
polymorph energy (0 for the lowest one): 0.00 kJ per mole of atoms
DFT formation energy: 0.15 eV per atom
calculated volume: 13.72 Å³/atom

abc: 7.086 7.086 2.733
angles: 90.00 90.00 90.00
Element x y z (fractional)
Cr: 0.131 0.369 0.000
Cr: 0.369 0.869 0.000
Cr: 0.631 0.131 0.000
Cr: 0.869 0.631 0.000
Pd: 0.000 0.000 0.000
Pd: 0.500 0.500 0.000
Ru: 0.163 0.663 0.500
Ru: 0.337 0.163 0.500
Ru: 0.663 0.837 0.500
Ru: 0.837 0.337 0.500

***

Record 15
# YTm2TcO8

A geometry-optimized YTm2TcO8 structure (PBE, Alexandria).

## Properties
SG: Cmmm, No. 65
energy: -97.4 eV for the cell shown
calculated volume: 13.90 Å³/atom

abc: 4.995 4.995 6.686
angles: 90.00 90.00 90.55
Element x y z (fractional)
Y: 0.000 0.000 0.000
Tm: 0.500 0.500 0.248
Tm: 0.500 0.500 0.752
Tc: 0.000 0.000 0.500
O: 0.185 0.815 0.293
O: 0.185 0.815 0.707
O: 0.272 0.272 0.500
O: 0.309 0.309 0.000
O: 0.691 0.691 0.000
O: 0.728 0.728 0.500
O: 0.815 0.185 0.293
O: 0.815 0.185 0.707

***

Record 16
# MnSi2Cl

A geometry-optimized MnSi2Cl structure (PBE, Alexandria).

## Properties
SG: R3m, No. 160
polymorph energy (0 for the lowest one): 9.81 kJ per mole of atoms
calculated volume: 18.87 Å³/atom

abc: 9.298 9.298 9.298
angles: 19.13 19.13 19.13
Element x y z (fractional)
Mn: 0.000 0.000 0.000
Si: 0.268 0.268 0.268
Si: 0.534 0.534 0.534
Cl: 0.726 0.726 0.726

***

Record 17
# PrNdAl

A geometry-optimized PrNdAl structure (PBE, Alexandria).

## Properties
SG: P3m1, No. 156
polymorph energy (0 for the lowest one): 7.62 kJ per mole of atoms
DFT formation energy: -0.13 eV per atom
calculated volume: 28.99 Å³/atom

abc: 5.175 5.175 3.750
angles: 90.00 90.00 120.00
Element x y z (fractional)
Pr: 0.000 0.000 0.000
Nd: 0.333 0.667 0.408
Al: 0.667 0.333 0.696

***

Record 18
# Er2Tl2Cd

A geometry-optimized Er2Tl2Cd structure (PBE, Alexandria).

## Properties
SG: P4/mbm, No. 127
polymorph energy (0 for the lowest one): 0.00 kJ per mole of atoms
DFT formation energy: -0.24 eV per atom
calculated volume: 26.71 Å³/atom

abc: 7.792 7.792 4.399
angles: 90.00 90.00 90.00
Element x y z (fractional)
Er: 0.168 0.332 0.000
Er: 0.332 0.832 0.000
Er: 0.668 0.168 0.000
Er: 0.832 0.668 0.000
Tl: 0.137 0.637 0.500
Tl: 0.363 0.137 0.500
Tl: 0.637 0.863 0.500
Tl: 0.863 0.363 0.500
Cd: 0.000 0.000 0.500
Cd: 0.500 0.500 0.500

***

Record 19
# NpNbRh2

A geometry-optimized NpNbRh2 structure (PBE, Alexandria).

## Properties
SG: P4/mmm, No. 123
polymorph energy (0 for the lowest one): 0.00 kJ per mole of atoms
DFT formation energy: -0.25 eV per atom
calculated volume: 17.33 Å³/atom

abc: 2.942 2.942 8.008
angles: 90.00 90.00 90.00
Element x y z (fractional)
Np: 0.000 0.000 0.000
Nb: 0.000 0.000 0.500
Rh: 0.500 0.500 0.268
Rh: 0.500 0.500 0.732

***

Record 20
# Ca2FeRh

A geometry-optimized Ca2FeRh structure (PBE, Alexandria).

## Properties
SG: Cmmm, No. 65
DFT formation energy: 0.20 eV per atom
calculated volume: 21.09 Å³/atom

abc: 4.893 4.893 3.544
angles: 90.00 90.00 96.23
Element x y z (fractional)
Ca: 0.000 0.500 0.000
Ca: 0.500 0.000 0.000
Fe: 0.000 0.000 0.500
Rh: 0.500 0.500 0.500

***

Record 21
# MnCoGe2As

A geometry-optimized MnCoGe2As structure (PBE, Alexandria).

## Properties
SG: P4/mmm, No. 123
DFT formation energy: 0.75 eV per atom
calculated volume: 19.32 Å³/atom

abc: 4.633 4.633 4.501
angles: 90.00 90.00 90.00
Element x y z (fractional)
Mn: 0.000 0.000 0.000
Co: 0.000 0.000 0.500
Ge: 0.000 0.500 0.000
Ge: 0.500 0.000 0.000
As: 0.500 0.500 0.500

***

Record 22
# LiZn2As

A geometry-optimized LiZn2As structure (PBE, Alexandria).

## Properties
SG: P4mm, No. 99
DFT formation energy: -0.07 eV per atom
calculated volume: 16.38 Å³/atom

abc: 2.830 2.830 8.178
angles: 90.00 90.00 90.00
Element x y z (fractional)
Li: 0.000 0.000 0.000
Zn: 0.000 0.000 0.482
Zn: 0.500 0.500 0.248
As: 0.500 0.500 0.760

***

Record 23
# CdSn2Rh

A geometry-optimized CdSn2Rh structure (PBE, Alexandria).

## Properties
SG: R-3m, No. 166
DFT formation energy: -0.14 eV per atom
calculated volume: 23.48 Å³/atom

abc: 9.516 9.516 9.516
angles: 20.66 20.66 20.66
Element x y z (fractional)
Cd: 0.000 0.000 0.000
Sn: 0.101 0.101 0.101
Sn: 0.899 0.899 0.899
Rh: 0.500 0.500 0.500

***

Record 24
# Li2InRhO4

A geometry-optimized Li2InRhO4 structure (PBE, Alexandria).

## Properties
SG: P2/m, No. 10
energy: -45.3 eV for the cell shown
calculated volume: 10.53 Å³/atom

abc: 5.260 3.161 5.385
angles: 90.00 109.72 90.00
Element x y z (fractional)
Li: 0.000 0.000 0.000
Li: 0.000 0.500 0.500
In: 0.500 0.000 0.500
Rh: 0.500 0.500 0.000
O: 0.258 0.500 0.246
O: 0.269 0.000 0.774
O: 0.731 0.000 0.226
O: 0.742 0.500 0.754